Entry from OQMD: a relaxed La2AgS3 crystal (GGA-PBE).

Summary:
The crystal system is orthorhombic. The energy above the most stable polymorph in this dataset comes out at 0.012 eV per atom.

Cell: 10.8129 4.0333 13.2921 Å, 90.00 90.00 90.00°
With the nearest neighbours (Å) after each atom.
Sites, in units of the cell vectors:
S: 0.3843 0.2500 0.0949  1 Ag 2.51
S: 0.6157 0.7500 0.9051  1 Ag 2.51
S: 0.5416 0.2500 0.3881  1 Ag 2.58
S: 0.2383 0.7500 0.3496  2 Ag 2.54
S: 0.7383 0.7500 0.1504  2 Ag 2.54
S: 0.0416 0.2500 0.1119  1 Ag 2.58
S: 0.8843 0.2500 0.4051  1 Ag 2.51
S: 0.4584 0.7500 0.6119  1 Ag 2.58
S: 0.1157 0.7500 0.5949  1 Ag 2.51
S: 0.7617 0.2500 0.6504  2 Ag 2.54
S: 0.2617 0.2500 0.8496  2 Ag 2.54
S: 0.9584 0.7500 0.8881  1 Ag 2.58
Ag: 0.7271 0.2500 0.2659  4 S 2.51-2.58
Ag: 0.7729 0.7500 0.7659  4 S 2.51-2.58
Ag: 0.2271 0.2500 0.2341  4 S 2.51-2.58
Ag: 0.2729 0.7500 0.7341  4 S 2.51-2.58
La: 0.4782 0.7500 0.2342  6 S 2.92-3.03
La: 0.0218 0.2500 0.7342  6 S 2.92-3.03
La: 0.2042 0.7500 0.0107  7 S 2.99-3.12
La: 0.9782 0.7500 0.2658  6 S 2.92-3.03
La: 0.7042 0.7500 0.4893  7 S 2.99-3.12
La: 0.2958 0.2500 0.5107  7 S 2.99-3.12
La: 0.7958 0.2500 0.9893  7 S 2.99-3.12
La: 0.5218 0.2500 0.7658  6 S 2.92-3.03